Here is a relaxed HoLuCdAu crystal from Alexandria via LeMat-Bulk. Energies are from PBE.

abc: 7.2443 7.2443 7.2443
angles: 90.00 90.00 90.00
Space group F-43m (No. 216)
Symmetry-distinct sites (fractional):
Ho (0.0000, 0.0000, 0.0000) x4
Lu (0.0000, 0.0000, 0.5000) x4
Cd (0.2500, 0.2500, 0.7500) x4
Au (0.2500, 0.2500, 0.2500) x4

Results
Size of the total moment: 0.00 Bohr magnetons per cell
E_tot: -3.8930 eV per atom
N(E_F): 3.671 states/eV/f.u.
Formation energy from the elements: -55 kJ per mole of atoms